Eu3TlP | PBE | optimized geometry Values from VASP.

Values from the calculation:
* ΔE_f: -584.0 meV per atom
* V: 180.4 Å³/cell
* SG: Pm-3m, No. 221

Quantum ESPRESSO input file:
```
&SYSTEM
  ibrav = 0, nat = 5, ntyp = 3
/
ATOMIC_SPECIES
Eu 151.96 Eu.upf
Tl 204.38 Tl.upf
P 30.97 P.upf
CELL_PARAMETERS angstrom
5.6504 0.0000 0.0000
0.0000 5.6504 0.0000
0.0000 0.0000 5.6504
ATOMIC_POSITIONS angstrom
Eu 0.0000 0.0000 2.8252
Eu 0.0000 2.8252 0.0000
Eu 2.8252 0.0000 0.0000
Tl 2.8252 2.8252 2.8252
P 0.0000 0.0000 0.0000
```